Density functional theory data (PBE) for a geometry-optimized Nd3Mg3In2Ir structure.

The calculation puts the total energy at -4.138 eV per atom.

The space group is P-62m (No. 189) and the conventional cell measures 7.5836, 7.5836 and 4.6450 Å, with angles of 90.00, 90.00 and 120.00 degrees. The distinct sites, in fractional coordinates, are Nd at (0.0000, 0.6123, 0.0000), Mg at (0.0000, 0.2272, 0.5000), In at (0.3333, 0.6667, 0.5000) and Ir at (0.0000, 0.0000, 0.0000).



Density functional theory data (PBE) for a geometry-optimized Mg4In2NiIr structure.

The calculation puts the total energy at -3.501 eV per atom.

The space group is P-6m2 (No. 187) and the conventional cell measures 4.6112, 4.6112 and 8.3687 Å, with angles of 90.00, 90.00 and 120.00 degrees. The distinct sites, in fractional coordinates, are Mg at (0.0000, 0.0000, 0.1729), Mg at (0.6667, 0.3333, 0.3259), In at (0.3333, 0.6667, 0.0000), In at (0.3333, 0.6667, 0.5000), Ni at (0.0000, 0.0000, 0.5000) and Ir at (0.6667, 0.3333, 0.0000).



Density functional theory data (PBE) for a geometry-optimized PrMg4InIr2 structure.

The calculation puts the total energy at -3.856 eV per atom.

The space group is Amm2 (No. 38) and the conventional cell measures 6.915, 3.789 and 18.457 Å, with angles of 90.00, 90.00 and 90.00 degrees. The distinct sites, in fractional coordinates, are Pr at (0.000, 0.000, 0.000), Mg at (0.274, 0.000, 0.378), Mg at (0.290, 0.000, 0.750), In at (0.000, 0.000, 0.640), Ir at (0.000, 0.000, 0.252) and Ir at (0.000, 0.000, 0.854).



Density functional theory data (PBE) for a geometry-optimized Pr3Mg3In2Ir structure.

The calculation puts the total energy at -4.137 eV per atom.

The space group is P-62m (No. 189) and the conventional cell measures 7.6168, 7.6168 and 4.6770 Å, with angles of 90.00, 90.00 and 120.00 degrees. The distinct sites, in fractional coordinates, are Pr at (0.0000, 0.3872, 0.0000), Mg at (0.0000, 0.7735, 0.5000), In at (0.3333, 0.6667, 0.5000) and Ir at (0.0000, 0.0000, 0.0000).



Density functional theory data (PBE) for a geometry-optimized Mg4In2IrPt structure.

The calculation puts the total energy at -3.754 eV per atom.

The space group is P-6m2 (No. 187) and the conventional cell measures 4.6619, 4.6619 and 8.3940 Å, with angles of 90.00, 90.00 and 120.00 degrees. The distinct sites, in fractional coordinates, are Mg at (0.0000, 0.0000, 0.1703), Mg at (0.6667, 0.3333, 0.3240), In at (0.3333, 0.6667, 0.0000), In at (0.3333, 0.6667, 0.5000), Ir at (0.6667, 0.3333, 0.0000) and Pt at (0.0000, 0.0000, 0.5000).



Density functional theory data (PBE) for a geometry-optimized Mg4InSiIr2 structure.

The calculation puts the total energy at -4.376 eV per atom.

The space group is P-6m2 (No. 187) and the conventional cell measures 4.4321, 4.4321 and 8.6351 Å, with angles of 90.00, 90.00 and 120.00 degrees. The distinct sites, in fractional coordinates, are Mg at (0.0000, 0.0000, 0.1673), Mg at (0.3333, 0.6667, 0.3257), In at (0.6667, 0.3333, 0.5000), Si at (0.6667, 0.3333, 0.0000), Ir at (0.0000, 0.0000, 0.5000) and Ir at (0.3333, 0.6667, 0.0000).



Density functional theory data (PBE) for a geometry-optimized MgInSiIr structure.

The value obtained for the offset from the most stable computed form is 0.0 kJ/mol of atoms.

The space group is F-43m (No. 216) and the conventional cell measures 6.452, 6.452 and 6.452 Å, with angles of 90.00, 90.00 and 90.00 degrees. The distinct sites, in fractional coordinates, are Mg at (0.000, 0.000, 0.000), In at (0.250, 0.250, 0.750), Si at (0.250, 0.250, 0.250) and Ir at (0.000, 0.000, 0.500).



Density functional theory data (PBE) for a geometry-optimized SrMg4InIr2 structure.

The calculation puts the total energy at -3.102 eV per atom.

The space group is Amm2 (No. 38) and the conventional cell measures 6.094, 5.025 and 18.448 Å, with angles of 90.00, 90.00 and 90.00 degrees. The distinct sites, in fractional coordinates, are Sr at (0.000, 0.000, 0.000), Mg at (0.242, 0.000, 0.666), Mg at (0.254, 0.000, 0.265), In at (0.000, 0.000, 0.401), Ir at (0.000, 0.000, 0.155) and Ir at (0.000, 0.000, 0.553).



Number 1: magnetic moment 0.03 μB/cell. Number 2: magnetic moment 0.00 μB/cell. Number 3: magnetic moment 0.01 μB/cell. Number 4: magnetic moment 0.03 μB/cell. Number 5: magnetic moment 0.04 μB/cell. Number 6: magnetic moment 0.03 μB/cell. Number 7: magnetic moment 0.01 μB/cell. Number 8: magnetic moment 0.02 μB/cell.